## SiS4 (PBE)

Data for SiS4 after structural relaxation. Values from VASP.

Computed properties:
Uncorrected energy ... -44.4 eV per cell
ΔE_f (raw) ... -0.0536 eV/atom
Offset from the most stable computed form ... 0 meV per atom
Space group ... P2_1/m (11)

Geometry as Quantum ESPRESSO input:
```
&SYSTEM
  ibrav = 0, nat = 10, ntyp = 2
/
ATOMIC_SPECIES
Si 28.09 Si.upf
S 32.06 S.upf
CELL_PARAMETERS angstrom
6.914 0.000 0.000
0.000 4.843 0.000
-0.203 0.000 7.502
ATOMIC_POSITIONS crystal
Si 0.089 0.250 0.333
Si 0.911 0.750 0.667
S 0.198 0.516 0.131
S 0.198 0.984 0.131
S 0.217 0.750 0.632
S 0.243 0.250 0.584
S 0.757 0.750 0.416
S 0.783 0.250 0.368
S 0.802 0.016 0.869
S 0.802 0.484 0.869
```